ZnFeSCl2 | PBE-GGA | optimized geometry

Cell: 4.673 4.673 4.990 Å, 90.00 90.00 90.00°
Positions (direct):
1 S 0.000 0.000 0.500
2 Zn 0.000 0.000 0.000
3 Cl 0.500 0.000 0.000
4 Cl 0.000 0.500 0.000
5 Fe 0.500 0.500 0.500

excess energy over the best structure of this formula in the dataset	0.169	eV per atom
ΔE_f (raw)	18.4	kJ per mole of atoms
SG	P4/mmm
VASP energy	-16.6	eV per cell

***

Ca2CdW | PBE-GGA | optimized geometry

Cell: 4.306 4.306 11.027 Å, 78.74 78.74 90.00°
Positions (direct):
1 Ca 0.875 0.881 0.750
2 Ca 0.119 0.625 0.250
3 Ca 0.375 0.369 0.750
4 Ca 0.631 0.125 0.250
5 Cd 0.500 0.500 0.000
6 Cd 0.250 0.750 0.500
7 W 0.750 0.250 0.500
8 W 0.000 0.000 0.000

SG	I-42d
energy relative to the elements	1.069	eV/atom
VASP energy	-27.2	eV per cell

***

ScPt2Cl | PBE-GGA | optimized geometry

Cell: 3.021 3.021 7.823 Å, 90.00 90.00 90.00°
Positions (direct):
1 Pt 0.000 0.000 0.482
2 Pt 0.000 0.000 0.018
3 Cl 0.500 0.500 0.750
4 Sc 0.500 0.500 0.250

excess energy over the best structure of this formula in the dataset	0.352	eV per atom
ΔE_f (raw)	-46.1	kJ per mole of atoms
SG	P4/mmm
VASP energy	-22.2	eV per cell